# 1
A relaxed structure of LiSiP2, computed with GGA-PBEsol.

a b c (Å): 3.415 3.658 5.417
angles (deg): 103.27 108.37 90.00
Positions (direct):
Si 0.466 0.560 0.933
P 0.815 0.214 0.629
Li 0.208 0.648 0.415
P 0.011 0.078 0.022

Computed properties:
Uncorrected formation energy   -78 meV/atom
Total moment   0.0 μB per formula unit
Total energy   -0.18016 hartree per atom

=====

# 2
A relaxed structure of Li2SiP, computed with GGA-PBEsol.

a b c (Å): 3.693 3.693 4.769
angles (deg): 112.78 112.78 90.00
Positions (direct):
Li 0.000 0.000 0.000
P 0.500 0.500 0.000
Li 0.750 0.250 0.500
Si 0.250 0.750 0.500

Computed properties:
Uncorrected formation energy   -176 meV/atom
Total moment   0.0 μB per formula unit
Total energy   -0.14860 hartree per atom
Excess energy over the best structure of this formula in the dataset   14.7 kJ per mole of atoms

=====

# 3
A relaxed structure of SrLiP, computed with GGA-PBEsol.

a b c (Å): 4.112 4.112 4.999
angles (deg): 114.28 114.28 90.00
Positions (direct):
P 0.314 0.314 0.627
Sr 0.677 0.677 0.355
Li 0.009 0.009 0.018

Computed properties:
Total moment   0.0 μB per formula unit
Energy relative to the elements   -599 meV/atom
Total energy   -0.13958 hartree per atom

=====

# 4
A relaxed structure of Sr2LiP2, computed with GGA-PBEsol.

a b c (Å): 3.441 8.593 8.593
angles (deg): 90.00 90.00 90.00
Positions (direct):
Sr 0.000 0.866 0.634
Sr 0.000 0.134 0.366
Sr 0.000 0.366 0.866
P 0.500 0.833 0.333
P 0.500 0.667 0.833
P 0.500 0.167 0.667
Li 0.000 0.500 0.500
Li 0.000 0.000 0.000
P 0.500 0.333 0.167
Sr 0.000 0.634 0.134

Computed properties:
Total moment   0.0 μB per formula unit
Energy relative to the elements   -578 meV/atom
Total energy   -0.14788 hartree per atom

=====

# 5
A relaxed structure of SrLiP, computed with GGA-PBEsol.

a b c (Å): 4.345 4.345 7.913
angles (deg): 90.00 90.00 120.00
Positions (direct):
Sr 0.000 0.000 0.000
P 0.333 0.667 0.750
Li 0.333 0.667 0.250
P 0.667 0.333 0.250
Li 0.667 0.333 0.750
Sr 0.000 0.000 0.500

Computed properties:
Total moment   0.0 μB per formula unit
Energy relative to the elements   -991 meV/atom
Total energy   -0.15399 hartree per atom

=====

# 6
A relaxed structure of Sr3LiP, computed with GGA-PBEsol.

a b c (Å): 5.586 5.586 5.586
angles (deg): 90.00 90.00 90.00
Positions (direct):
Sr 0.500 0.000 0.000
P 0.500 0.500 0.500
Sr 0.000 0.000 0.500
Sr 0.000 0.500 0.000
Li 0.000 0.000 0.000

Computed properties:
Total moment   0.0 μB per formula unit
Energy relative to the elements   325 meV/atom
Total energy   -0.08567 hartree per atom

=====

# 7
A relaxed structure of SrLiP, computed with GGA-PBEsol.

a b c (Å): 4.193 4.248 4.248
angles (deg): 120.00 90.00 90.00
Positions (direct):
Li 0.000 0.000 0.000
P 0.000 0.333 0.667
Sr 0.500 0.667 0.333

Computed properties:
Total moment   0.0 μB per formula unit
Energy relative to the elements   -908 meV/atom
Total energy   -0.15094 hartree per atom

=====

# 8
A relaxed structure of SrLi4P2, computed with GGA-PBEsol.

a b c (Å): 4.251 4.251 8.128
angles (deg): 74.84 74.84 60.00
Positions (direct):
Sr 0.000 0.000 0.000
Li 0.570 0.570 0.291
Li 0.862 0.862 0.413
P 0.246 0.246 0.261
Li 0.430 0.430 0.709
Li 0.138 0.138 0.587
P 0.754 0.754 0.739

Computed properties:
Total moment   0.0 μB per formula unit
Energy relative to the elements   -837 meV/atom
Total energy   -0.14254 hartree per atom